Record 1
{"formula": "Cd2B7Ir12", "functional": "GGA-PBE", "state": "relaxed", "cell": [[-0.035, -2.737, -2.745], [3.633, -5.777, 5.715], [-8.854, 0.705, -0.591]], "species": ["Cd", "Cd", "B", "B", "B", "B", "B", "B", "B", "Ir", "Ir", "Ir", "Ir", "Ir", "Ir", "Ir", "Ir", "Ir", "Ir", "Ir", "Ir"], "fractional_positions": [[0.500, 0.000, 0.000], [0.000, 0.667, 0.333], [0.000, 0.333, 0.667], [0.000, 0.014, 0.758], [0.000, 0.744, 0.986], [0.000, 0.242, 0.256], [0.500, 0.614, 0.558], [0.500, 0.944, 0.386], [0.500, 0.442, 0.056], [0.500, 0.872, 0.598], [0.500, 0.726, 0.127], [0.500, 0.402, 0.274], [0.500, 0.239, 0.790], [0.500, 0.551, 0.761], [0.500, 0.210, 0.449], [0.000, 0.061, 0.547], [0.000, 0.486, 0.939], [0.000, 0.453, 0.514], [0.000, 0.779, 0.762], [0.000, 0.983, 0.221], [0.000, 0.238, 0.017]], "dos_ef_per_ev_fu": 5.94, "crystal_system": "hexagonal", "energy_ev_per_atom": -7.46}

=====

Record 2
{"formula": "LiTmScPb", "functional": "GGA-PBE", "state": "relaxed", "cell": [[-0.160, 1.102, -4.982], [-2.726, -2.924, -3.175], [-4.299, 1.806, -2.077]], "species": ["Pb", "Sc", "Tm", "Li"], "fractional_positions": [[0.500, 0.500, 0.500], [0.750, 0.750, 0.750], [0.250, 0.250, 0.250], [0.000, 0.000, 0.000]], "dos_ef_per_ev_fu": 4.05, "crystal_system": "cubic", "energy_ev_per_atom": -4.32}

=====

Record 3
{"formula": "Ce2SiIr2", "functional": "GGA-PBE", "state": "relaxed", "cell": [[-3.069, -4.853, -3.687], [-2.662, -2.208, 5.121], [-1.299, 6.753, -1.492]], "species": ["Ce", "Ce", "Ce", "Ce", "Si", "Si", "Ir", "Ir", "Ir", "Ir"], "fractional_positions": [[0.853, 0.675, 0.705], [0.147, 0.325, 0.295], [0.647, 0.970, 0.295], [0.353, 0.030, 0.705], [0.750, 0.500, 0.000], [0.250, 0.500, 0.000], [0.391, 0.600, 0.782], [0.609, 0.400, 0.218], [0.109, 0.817, 0.218], [0.891, 0.183, 0.782]], "dos_ef_per_ev_fu": 5.85, "crystal_system": "orthorhombic", "e_form_raw_ev_per_atom": -0.7610}

=====

Record 4
{"formula": "LiGa6Ag8", "functional": "GGA-PBE", "state": "relaxed", "cell": [[-4.746, -4.206, -4.364], [2.727, -6.009, -3.964], [-1.675, -6.627, 1.419]], "species": ["Li", "Ga", "Ga", "Ga", "Ga", "Ga", "Ga", "Ag", "Ag", "Ag", "Ag", "Ag", "Ag", "Ag", "Ag"], "fractional_positions": [[0.000, 0.000, 0.000], [0.379, 0.065, 0.880], [0.935, 0.323, 0.120], [0.323, 0.621, 0.120], [0.677, 0.379, 0.880], [0.065, 0.677, 0.880], [0.621, 0.935, 0.120], [0.589, 0.183, 0.375], [0.817, 0.146, 0.625], [0.146, 0.411, 0.625], [0.755, 0.755, 0.736], [0.245, 0.245, 0.264], [0.854, 0.589, 0.375], [0.183, 0.854, 0.375], [0.411, 0.817, 0.625]], "relative_energy_ev_per_atom": 0.007, "dos_ef_per_ev_fu": 3.08, "crystal_system": "trigonal"}